Computed, not measured: a relaxed HfAsI3 crystal at the GGA-PBE level of DFT.

abc: 5.672 5.672 5.672
angles: 90.00 90.00 90.00
Positions (direct):
Hf 0.000 0.000 0.000
As 0.500 0.500 0.500
I 0.000 0.500 0.500
I 0.500 0.000 0.500
I 0.500 0.500 0.000

Output
Energy   -0.223 Ry per atom
SG   Pm-3m (221)
ΔE to the lowest computed polymorph   679 meV/atom


Computed, not measured: a relaxed AlAsSBr2 crystal at the GGA-PBE level of DFT.

abc: 5.344 5.344 4.850
angles: 90.00 90.00 90.00
Positions (direct):
Al 0.000 0.000 0.000
As 0.500 0.500 0.000
S 0.500 0.500 0.500
Br 0.000 0.500 0.500
Br 0.500 0.000 0.500

Output
Energy   -0.197 Ry per atom
SG   P4/mmm (123)
ΔE to the lowest computed polymorph   203 meV/atom


Computed, not measured: a relaxed TbHfCd4 crystal at the GGA-PBE level of DFT.

abc: 5.783 5.783 5.783
angles: 60.00 60.00 60.00
Positions (direct):
Tb 0.000 0.000 0.000
Hf 0.250 0.250 0.250
Cd 0.126 0.625 0.625
Cd 0.625 0.126 0.625
Cd 0.625 0.625 0.126
Cd 0.625 0.625 0.625

Output
Energy   -0.226 Ry per atom
SG   F-43m (216)
ΔH_f (0 K)   -0.0365 eV per atom


Computed, not measured: a relaxed Th5Bi3Au crystal at the GGA-PBE level of DFT.

abc: 9.713 9.713 6.608
angles: 90.00 90.00 120.00
Positions (direct):
Th 0.000 0.266 0.250
Th 0.000 0.734 0.750
Th 0.266 0.000 0.250
Th 0.266 0.266 0.750
Th 0.333 0.667 0.000
Th 0.333 0.667 0.500
Th 0.667 0.333 0.000
Th 0.667 0.333 0.500
Th 0.734 0.000 0.750
Th 0.734 0.734 0.250
Bi 0.000 0.384 0.750
Bi 0.000 0.616 0.250
Bi 0.384 0.000 0.750
Bi 0.384 0.384 0.250
Bi 0.616 0.000 0.250
Bi 0.616 0.616 0.750
Au 0.000 0.000 0.000
Au 0.000 0.000 0.500

Output
Energy   -0.469 Ry per atom
SG   P6_3/mcm (193)
ΔH_f (0 K)   -0.6015 eV per atom